## 1
This record from Alexandria via LeMat-Bulk describes a relaxed structure of NaH2Cl3. The functional is PBE-GGA.

Summary:
theoretical density: 1.5 Mg/m³

Cell lengths 5.5030, 4.1703, 13.0158 Å; angles 90.00, 95.97, 90.00 degrees
Space group P2_1/m (No. 11)
Asymmetric unit:
Na  0.2299  0.2500  0.4371
H  0.0104  0.2500  0.0809
H  0.4991  0.2500  0.7028
Cl  0.2249  0.7500  0.9269
Cl  0.2696  0.7500  0.5785
Cl  0.2707  0.7500  0.2629

=====

## 2
This record from Alexandria via LeMat-Bulk describes a relaxed structure of NaH2Cl3. The functional is PBE-GGA.

Summary:
theoretical density: 1.5 Mg/m³

Cell lengths 10.5164, 7.6091, 8.0293 Å; angles 90.00, 118.32, 90.00 degrees
Space group C2/c (No. 15)
Asymmetric unit:
Na  0.0000  0.1448  0.2500
H  0.1863  0.4650  0.3031
Cl  0.0000  0.4987  0.7500
Cl  0.1749  0.0878  0.6544

=====

Stability ranking, top entry: 1; the second entry is 0.013 eV/atom less favorable.

=====

## 1
This record from Alexandria via LeMat-Bulk describes a relaxed structure of NbH2Cl4. The functional is PBE-GGA.

Summary:
theoretical density: 1.5 Mg/m³

Cell lengths 5.8947, 5.8947, 15.0905 Å; angles 90.00, 90.00, 90.00 degrees
Space group I-42m (No. 121)
Asymmetric unit:
Nb  0.0000  0.0000  0.0000
H  0.0000  0.5000  0.2500
Cl  0.2265  0.2265  0.0855

=====

## 2
This record from Alexandria via LeMat-Bulk describes a relaxed structure of NbH2Cl4. The functional is PBE-GGA.

Summary:
theoretical density: 2.1 Mg/m³

Cell lengths 6.7115, 3.3865, 8.7915 Å; angles 90.00, 111.85, 90.00 degrees
Space group P2/m (No. 10)
Asymmetric unit:
Nb  0.0000  0.0000  0.0000
H  0.2535  0.5000  0.5111
Cl  0.1433  0.5000  0.8566
Cl  0.3261  0.0000  0.2205

=====

Stability ranking, top entry: 2; the second entry is 0.065 eV/atom less favorable.

=====

## 1
This record from Alexandria via LeMat-Bulk describes a relaxed structure of NbP2HCl. The functional is PBE-GGA.

Summary:
theoretical density: 4.7 Mg/m³

Cell lengths 3.7464, 3.7464, 4.8475 Å; angles 90.00, 90.00, 90.00 degrees
Space group P4/mmm (No. 123)
Asymmetric unit:
Nb  0.0000  0.0000  0.0000
P  0.0000  0.5000  0.5000
H  0.5000  0.5000  0.5000
Cl  0.5000  0.5000  0.0000

=====

## 2
This record from Alexandria via LeMat-Bulk describes a relaxed structure of NbP2HCl. The functional is PBE-GGA.

Summary:
theoretical density: 2.7 Mg/m³

Cell lengths 4.8110, 4.8110, 5.0996 Å; angles 90.00, 90.00, 90.00 degrees
Space group P4/mmm (No. 123)
Asymmetric unit:
Nb  0.0000  0.0000  0.0000
P  0.0000  0.5000  0.0000
H  0.5000  0.5000  0.5000
Cl  0.0000  0.0000  0.5000

=====

Stability ranking, top entry: 1; the second entry is 0.047 eV/atom less favorable.

=====

## 1
This record from Alexandria via LeMat-Bulk describes a relaxed structure of NiHCl3. The functional is PBE-GGA.

Summary:
theoretical density: 2.8 Mg/m³

Cell lengths 4.6125, 4.6125, 4.6125 Å; angles 90.00, 90.00, 90.00 degrees
Space group Pm-3m (No. 221)
Asymmetric unit:
Ni  0.0000  0.0000  0.0000
H  0.5000  0.5000  0.5000
Cl  0.0000  0.0000  0.5000

=====

## 2
This record from Alexandria via LeMat-Bulk describes a relaxed structure of NiHCl3. The functional is PBE-GGA.

Summary:
theoretical density: 3.4 Mg/m³

Cell lengths 4.3452, 4.3452, 4.3452 Å; angles 90.00, 90.00, 90.00 degrees
Space group Pm-3m (No. 221)
Asymmetric unit:
Ni  0.0000  0.0000  0.0000
H  0.5000  0.5000  0.5000
Cl  0.0000  0.5000  0.5000

=====

Stability ranking, top entry: 1; the second entry is 0.447 eV/atom less favorable.